# 1
Tb4Er3Tm | PBE | optimized geometry

## Properties
DFT formation energy = 0.197 eV per atom
spin magnetization = 0.000 μB per atom
SG = Cmmm
polymorph energy (0 for the lowest one) = 4.41 kcal/mol of atoms

a b c (Å): 13.174 13.174 3.555
angles (deg): 90.00 90.00 155.61
Sites, in units of the cell vectors:
Tb  0.103  0.897  0.000
Tb  0.223  0.777  0.000
Tb  0.777  0.223  0.000
Tb  0.897  0.103  0.000
Er  0.346  0.654  0.500
Er  0.500  0.500  0.000
Er  0.654  0.346  0.500
Tm  0.000  0.000  0.500

---

# 2
NdSm7Ho3 | PBE | optimized geometry

## Properties
DFT formation energy = 0.132 eV per atom
spin magnetization = 0.000 μB per atom
SG = P-1
polymorph energy (0 for the lowest one) = 0.00 kcal/mol of atoms

a b c (Å): 6.552 6.738 8.720
angles (deg): 99.60 98.98 95.69
Sites, in units of the cell vectors:
Nd  0.000  0.000  0.000
Sm  0.000  0.500  0.000
Sm  0.054  0.210  0.641
Sm  0.222  0.722  0.711
Sm  0.485  0.239  0.913
Sm  0.515  0.761  0.087
Sm  0.778  0.278  0.289
Sm  0.946  0.790  0.359
Ho  0.310  0.434  0.338
Ho  0.500  0.000  0.500
Ho  0.690  0.566  0.662

---

# 3
TbIn2Te4Au | PBE | optimized geometry

## Properties
spin magnetization = 0.000 μB per atom
SG = P2/m
formation energy from raw total energies = -0.494 eV/atom

a b c (Å): 7.802 4.272 7.923
angles (deg): 90.00 110.32 90.00
Sites, in units of the cell vectors:
Tb  0.000  0.000  0.000
In  0.000  0.500  0.500
In  0.500  0.000  0.500
Te  0.232  0.500  0.249
Te  0.277  0.000  0.786
Te  0.723  0.000  0.214
Te  0.768  0.500  0.751
Au  0.500  0.500  0.000

---

# 4
Lu2NiPb | PBE | optimized geometry

## Properties
DFT formation energy = -0.429 eV per atom
spin magnetization = 0.000 μB per atom
SG = P4/mmm
polymorph energy (0 for the lowest one) = 0.00 kcal/mol of atoms

a b c (Å): 3.378 3.378 8.002
angles (deg): 90.00 90.00 90.00
Sites, in units of the cell vectors:
Lu  0.000  0.000  0.198
Lu  0.000  0.000  0.802
Ni  0.500  0.500  0.000
Pb  0.500  0.500  0.500

---

# 5
RbH2Se | PBE | optimized geometry

## Properties
spin magnetization = 0.000 μB per atom
SG = Imm2
polymorph energy (0 for the lowest one) = 0.93 kcal/mol of atoms

a b c (Å): 5.146 5.146 5.146
angles (deg): 127.57 110.20 92.58
Sites, in units of the cell vectors:
Rb  0.000  0.000  0.000
H  0.501  0.102  0.600
H  0.501  0.901  0.400
Se  0.500  0.500  0.000

---

# 6
Nd5ErTl5 | PBE | optimized geometry

## Properties
DFT formation energy = -0.161 eV per atom
spin magnetization = 0.039 μB per atom
SG = C2/m

a b c (Å): 9.495 9.495 7.201
angles (deg): 111.78 111.78 35.75
Sites, in units of the cell vectors:
Nd  0.000  0.000  0.000
Nd  0.310  0.310  0.306
Nd  0.362  0.362  0.855
Nd  0.638  0.638  0.145
Nd  0.690  0.690  0.694
Er  0.000  0.000  0.500
Tl  0.161  0.161  0.436
Tl  0.161  0.161  0.886
Tl  0.500  0.500  0.500
Tl  0.839  0.839  0.114
Tl  0.839  0.839  0.564

---

# 7
Y3ScTc8 | PBE | optimized geometry

## Properties
DFT formation energy = -0.163 eV per atom
spin magnetization = 0.000 μB per atom
SG = R3m

a b c (Å): 9.311 9.311 9.311
angles (deg): 33.53 33.53 33.53
Sites, in units of the cell vectors:
Y  0.000  0.000  0.000
Y  0.126  0.126  0.126
Y  0.625  0.625  0.625
Sc  0.500  0.500  0.500
Tc  0.062  0.062  0.560
Tc  0.062  0.560  0.062
Tc  0.066  0.563  0.563
Tc  0.313  0.313  0.313
Tc  0.560  0.062  0.062
Tc  0.563  0.066  0.563
Tc  0.563  0.563  0.066
Tc  0.813  0.813  0.813

---

# 8
ReHg | PBE | optimized geometry

## Properties
DFT formation energy = 1.106 eV per atom
spin magnetization = 0.000 μB per atom
SG = Fd-3m
polymorph energy (0 for the lowest one) = 16.45 kcal/mol of atoms

a b c (Å): 4.646 4.646 4.646
angles (deg): 60.00 60.00 60.00
Sites, in units of the cell vectors:
Re  0.125  0.125  0.125
Re  0.875  0.875  0.875
Hg  0.375  0.375  0.375
Hg  0.625  0.625  0.625

---

no.,calculated density (g/cm³),final energy (Ha/atom)
1,8.5,-0.1613
2,7.6,-0.1673
3,7.3,-0.1373
4,11.2,-0.1860
5,2.9,-0.1161
6,9.1,-0.1403
7,8.3,-0.3387
8,18.1,-0.1936